1.
## Mn3Bi2O8 (PBE with a Hubbard U)

Data for crystalline Mn3Bi2O8 at its relaxed geometry.

The structure in CIF format:
```
data_Mn3Bi2O8
_cell_length_a 6.1063
_cell_length_b 6.1063
_cell_length_c 11.4844
_cell_angle_alpha 90.00
_cell_angle_beta 90.00
_cell_angle_gamma 120.00
_symmetry_space_group_name_H-M 'P 63 m c'
_symmetry_Int_Tables_number 186
_symmetry_space_group_name_Hall 'P 6c -2c'
loop_
_atom_site_label
_atom_site_type_symbol
_atom_site_fract_x
_atom_site_fract_y
_atom_site_fract_z
Mn1 Mn 0.1647 0.3294 0.0000
Bi1 Bi 0.3333 0.6667 0.3052
Bi2 Bi 0.3333 0.6667 0.6883
O1 O 0.0000 0.0000 0.0782
O2 O 0.0253 0.5126 0.1038
O3 O 0.1598 0.3196 0.4046
O4 O 0.3333 0.6667 0.9232
```

M_tot ... 22.000 Bohr magnetons per cell
Crystal system ... hexagonal

---

2.
## Mn7BiO12 (PBE with a Hubbard U)

Data for crystalline Mn7BiO12 at its relaxed geometry.

The structure in CIF format:
```
data_Mn7BiO12
_cell_length_a 10.747
_cell_length_b 7.581
_cell_length_c 7.594
_cell_angle_alpha 90.00
_cell_angle_beta 134.92
_cell_angle_gamma 90.00
_symmetry_space_group_name_H-M 'C 1 m 1'
_symmetry_Int_Tables_number 8
_symmetry_space_group_name_Hall 'C -2y'
loop_
_atom_site_label
_atom_site_type_symbol
_atom_site_fract_x
_atom_site_fract_y
_atom_site_fract_z
Mn1 Mn 0.000 0.000 0.000
Mn2 Mn 0.004 0.000 0.504
Mn3 Mn 0.246 0.257 0.998
Mn4 Mn 0.254 0.250 0.499
Mn5 Mn 0.495 0.000 0.489
Bi1 Bi 0.474 0.000 0.999
O1 O 0.002 0.327 0.301
O2 O 0.177 0.188 0.172
O3 O 0.196 0.000 0.520
O4 O 0.201 0.000 0.872
O5 O 0.319 0.500 0.498
O6 O 0.320 0.500 0.141
O7 O 0.326 0.306 0.828
O8 O 0.499 0.179 0.678
```

M_tot ... 56.000 Bohr magnetons per cell
Crystal system ... monoclinic

---

3.
## Mn2Bi2O5 (PBE with a Hubbard U)

Data for crystalline Mn2Bi2O5 at its relaxed geometry.

The structure in CIF format:
```
data_Mn2Bi2O5
_cell_length_a 15.457
_cell_length_b 6.223
_cell_length_c 5.759
_cell_angle_alpha 90.00
_cell_angle_beta 90.00
_cell_angle_gamma 90.00
_symmetry_space_group_name_H-M 'I m a 2'
_symmetry_Int_Tables_number 46
_symmetry_space_group_name_Hall 'I 2 -2a'
loop_
_atom_site_label
_atom_site_type_symbol
_atom_site_fract_x
_atom_site_fract_y
_atom_site_fract_z
Mn1 Mn 0.000 0.000 0.000
Mn2 Mn 0.250 0.075 0.944
Bi1 Bi 0.111 0.541 0.953
O1 O 0.015 0.217 0.310
O2 O 0.144 0.586 0.586
O3 O 0.250 0.111 0.575
```

M_tot ... 40.001 Bohr magnetons per cell
Crystal system ... orthorhombic

---

4.
## MnBi3O6 (PBE with a Hubbard U)

Data for crystalline MnBi3O6 at its relaxed geometry.

The structure in CIF format:
```
data_MnBi3O6
_cell_length_a 9.609
_cell_length_b 11.478
_cell_length_c 5.586
_cell_angle_alpha 90.00
_cell_angle_beta 90.00
_cell_angle_gamma 90.00
_symmetry_space_group_name_H-M 'C m c 21'
_symmetry_Int_Tables_number 36
_symmetry_space_group_name_Hall 'C 2c -2'
loop_
_atom_site_label
_atom_site_type_symbol
_atom_site_fract_x
_atom_site_fract_y
_atom_site_fract_z
Mn1 Mn 0.000 0.127 0.000
Bi1 Bi 0.000 0.401 0.504
Bi2 Bi 0.206 0.129 0.489
O1 O 0.000 0.027 0.297
O2 O 0.000 0.215 0.711
O3 O 0.144 0.484 0.762
O4 O 0.166 0.217 0.140
```

M_tot ... 15.994 Bohr magnetons per cell
Polymorph energy (0 for the lowest one) ... 0.0 meV per atom
Crystal system ... orthorhombic

---

5.
## Mn2Bi3O7 (PBE with a Hubbard U)

Data for crystalline Mn2Bi3O7 at its relaxed geometry.

The structure in CIF format:
```
data_Mn2Bi3O7
_cell_length_a 5.855
_cell_length_b 5.832
_cell_length_c 10.620
_cell_angle_alpha 90.00
_cell_angle_beta 104.91
_cell_angle_gamma 90.00
_symmetry_space_group_name_H-M 'P 1 21 1'
_symmetry_Int_Tables_number 4
_symmetry_space_group_name_Hall 'P 2yb'
loop_
_atom_site_label
_atom_site_type_symbol
_atom_site_fract_x
_atom_site_fract_y
_atom_site_fract_z
Mn1 Mn 0.123 0.000 0.289
Mn2 Mn 0.346 0.995 0.714
Bi1 Bi 0.080 0.470 0.127
Bi2 Bi 0.352 0.593 0.502
Bi3 Bi 0.459 0.468 0.870
O1 O 0.126 0.230 0.757
O2 O 0.130 0.067 0.075
O3 O 0.150 0.749 0.756
O4 O 0.271 0.972 0.496
O5 O 0.418 0.729 0.315
O6 O 0.421 0.246 0.313
O7 O 0.431 0.577 0.067
```

M_tot ... 18.000 Bohr magnetons per cell
Crystal system ... monoclinic

---

6.
## MnBi2OsO6 (PBE with a Hubbard U)

Data for crystalline MnBi2OsO6 at its relaxed geometry.

The structure in CIF format:
```
data_MnBi2OsO6
_cell_length_a 5.611
_cell_length_b 5.948
_cell_length_c 9.659
_cell_angle_alpha 90.00
_cell_angle_beta 123.39
_cell_angle_gamma 90.00
_symmetry_space_group_name_H-M 'P 1 21/c 1'
_symmetry_Int_Tables_number 14
_symmetry_space_group_name_Hall '-P 2ybc'
loop_
_atom_site_label
_atom_site_type_symbol
_atom_site_fract_x
_atom_site_fract_y
_atom_site_fract_z
Mn1 Mn 0.000 0.000 0.000
Bi1 Bi 0.234 0.068 0.728
Os1 Os 0.500 0.000 0.500
O1 O 0.152 0.045 0.261
O2 O 0.197 0.669 0.020
O3 O 0.377 0.228 0.066
```

M_tot ... 14.059 Bohr magnetons per cell
Crystal system ... monoclinic

---

7.
## Mn2BiOsO8 (PBE with a Hubbard U)

Data for crystalline Mn2BiOsO8 at its relaxed geometry.

The structure in CIF format:
```
data_Mn2BiOsO8
_cell_length_a 6.653
_cell_length_b 6.960
_cell_length_c 6.478
_cell_angle_alpha 90.00
_cell_angle_beta 90.00
_cell_angle_gamma 90.00
_symmetry_space_group_name_H-M 'C m m m'
_symmetry_Int_Tables_number 65
_symmetry_space_group_name_Hall '-C 2 2'
loop_
_atom_site_label
_atom_site_type_symbol
_atom_site_fract_x
_atom_site_fract_y
_atom_site_fract_z
Mn1 Mn 0.000 0.000 0.246
Bi1 Bi 0.000 0.500 0.500
Os1 Os 0.000 0.500 0.000
O1 O 0.000 0.312 0.219
O2 O 0.178 0.000 0.500
O3 O 0.215 0.000 0.000
```

M_tot ... 17.998 Bohr magnetons per cell
Crystal system ... orthorhombic

---

8.
## MnBiP2O (PBE with a Hubbard U)

Data for crystalline MnBiP2O at its relaxed geometry.

The structure in CIF format:
```
data_MnBiP2O
_cell_length_a 5.291
_cell_length_b 5.291
_cell_length_c 4.162
_cell_angle_alpha 90.00
_cell_angle_beta 90.00
_cell_angle_gamma 90.00
_symmetry_space_group_name_H-M 'P 4/m m m'
_symmetry_Int_Tables_number 123
_symmetry_space_group_name_Hall '-P 4 2'
loop_
_atom_site_label
_atom_site_type_symbol
_atom_site_fract_x
_atom_site_fract_y
_atom_site_fract_z
Mn1 Mn 0.000 0.000 0.000
Bi1 Bi 0.500 0.500 0.500
P1 P 0.000 0.500 0.500
O1 O 0.500 0.500 0.000
```

M_tot ... 3.862 Bohr magnetons per cell
Polymorph energy (0 for the lowest one) ... 638.2 meV per atom
Crystal system ... tetragonal

---

9.
## Mn6BiPO12 (PBE with a Hubbard U)

Data for crystalline Mn6BiPO12 at its relaxed geometry.

The structure in CIF format:
```
data_Mn6BiPO12
_cell_length_a 9.836
_cell_length_b 9.836
_cell_length_c 9.836
_cell_angle_alpha 90.00
_cell_angle_beta 90.00
_cell_angle_gamma 90.00
_symmetry_space_group_name_H-M 'F -4 3 m'
_symmetry_Int_Tables_number 216
_symmetry_space_group_name_Hall 'F -4 2 3'
loop_
_atom_site_label
_atom_site_type_symbol
_atom_site_fract_x
_atom_site_fract_y
_atom_site_fract_z
Mn1 Mn 0.000 0.000 0.246
Bi1 Bi 0.250 0.250 0.250
P1 P 0.250 0.250 0.750
O1 O 0.104 0.104 0.396
O2 O 0.108 0.108 0.108
O3 O 0.159 0.159 0.841
```

M_tot ... 104.000 Bohr magnetons per cell
Crystal system ... cubic

---

10.
## MnBiPO2 (PBE with a Hubbard U)

Data for crystalline MnBiPO2 at its relaxed geometry.

The structure in CIF format:
```
data_MnBiPO2
_cell_length_a 4.153
_cell_length_b 4.153
_cell_length_c 5.511
_cell_angle_alpha 90.00
_cell_angle_beta 90.00
_cell_angle_gamma 90.00
_symmetry_space_group_name_H-M 'P 4/m m m'
_symmetry_Int_Tables_number 123
_symmetry_space_group_name_Hall '-P 4 2'
loop_
_atom_site_label
_atom_site_type_symbol
_atom_site_fract_x
_atom_site_fract_y
_atom_site_fract_z
Mn1 Mn 0.000 0.000 0.000
Bi1 Bi 0.500 0.500 0.500
P1 P 0.500 0.500 0.000
O1 O 0.000 0.500 0.500
```

M_tot ... 4.655 Bohr magnetons per cell
Polymorph energy (0 for the lowest one) ... 380.7 meV per atom
Crystal system ... tetragonal

---

11.
## MnBiP2O (PBE with a Hubbard U)

Data for crystalline MnBiP2O at its relaxed geometry.

The structure in CIF format:
```
data_MnBiP2O
_cell_length_a 4.957
_cell_length_b 4.957
_cell_length_c 3.680
_cell_angle_alpha 90.00
_cell_angle_beta 90.00
_cell_angle_gamma 90.00
_symmetry_space_group_name_H-M 'P 4/m m m'
_symmetry_Int_Tables_number 123
_symmetry_space_group_name_Hall '-P 4 2'
loop_
_atom_site_label
_atom_site_type_symbol
_atom_site_fract_x
_atom_site_fract_y
_atom_site_fract_z
Mn1 Mn 0.000 0.000 0.000
Bi1 Bi 0.500 0.500 0.500
P1 P 0.000 0.500 0.000
O1 O 0.000 0.000 0.500
```

M_tot ... 3.136 Bohr magnetons per cell
Polymorph energy (0 for the lowest one) ... 0.0 meV per atom
Crystal system ... tetragonal

---

12.
## MnBiPO2 (PBE with a Hubbard U)

Data for crystalline MnBiPO2 at its relaxed geometry.

The structure in CIF format:
```
data_MnBiPO2
_cell_length_a 3.934
_cell_length_b 3.934
_cell_length_c 4.865
_cell_angle_alpha 90.00
_cell_angle_beta 90.00
_cell_angle_gamma 90.00
_symmetry_space_group_name_H-M 'P 4/m m m'
_symmetry_Int_Tables_number 123
_symmetry_space_group_name_Hall '-P 4 2'
loop_
_atom_site_label
_atom_site_type_symbol
_atom_site_fract_x
_atom_site_fract_y
_atom_site_fract_z
Mn1 Mn 0.000 0.000 0.000
Bi1 Bi 0.500 0.500 0.500
P1 P 0.000 0.000 0.500
O1 O 0.000 0.500 0.000
```

M_tot ... 3.234 Bohr magnetons per cell
Polymorph energy (0 for the lowest one) ... 0.0 meV per atom
Crystal system ... tetragonal

---

13.
## PaMnBiO6 (PBE with a Hubbard U)

Data for crystalline PaMnBiO6 at its relaxed geometry.

The structure in CIF format:
```
data_PaMnBiO6
_cell_length_a 5.4370
_cell_length_b 5.4370
_cell_length_c 4.8104
_cell_angle_alpha 90.00
_cell_angle_beta 90.00
_cell_angle_gamma 120.00
_symmetry_space_group_name_H-M 'P 3 1 2'
_symmetry_Int_Tables_number 149
_symmetry_space_group_name_Hall 'P 3 2'
loop_
_atom_site_label
_atom_site_type_symbol
_atom_site_fract_x
_atom_site_fract_y
_atom_site_fract_z
Pa1 Pa 0.0000 0.0000 0.0000
Mn1 Mn 0.3333 0.6667 0.5000
Bi1 Bi 0.6667 0.3333 0.5000
O1 O 0.0528 0.3556 0.2632
```

M_tot ... 2.999 Bohr magnetons per cell
Crystal system ... trigonal

---

14.
## PaMnBiO5 (PBE with a Hubbard U)

Data for crystalline PaMnBiO5 at its relaxed geometry.

The structure in CIF format:
```
data_PaMnBiO5
_cell_length_a 7.304
_cell_length_b 10.220
_cell_length_c 6.760
_cell_angle_alpha 90.00
_cell_angle_beta 93.12
_cell_angle_gamma 90.00
_symmetry_space_group_name_H-M 'C 1 2/c 1'
_symmetry_Int_Tables_number 15
_symmetry_space_group_name_Hall '-C 2yc'
loop_
_atom_site_label
_atom_site_type_symbol
_atom_site_fract_x
_atom_site_fract_y
_atom_site_fract_z
Pa1 Pa 0.000 0.104 0.250
Mn1 Mn 0.000 0.242 0.750
Bi1 Bi 0.000 0.500 0.000
O1 O 0.000 0.324 0.250
O2 O 0.064 0.108 0.556
O3 O 0.191 0.396 0.771
```

M_tot ... 20.000 Bohr magnetons per cell
Crystal system ... monoclinic

---

15.
## PaMn2BiO8 (PBE with a Hubbard U)

Data for crystalline PaMn2BiO8 at its relaxed geometry.

The structure in CIF format:
```
data_PaMn2BiO8
_cell_length_a 7.115
_cell_length_b 7.115
_cell_length_c 6.683
_cell_angle_alpha 90.00
_cell_angle_beta 90.00
_cell_angle_gamma 90.00
_symmetry_space_group_name_H-M 'I -4 m 2'
_symmetry_Int_Tables_number 119
_symmetry_space_group_name_Hall 'I -4 -2'
loop_
_atom_site_label
_atom_site_type_symbol
_atom_site_fract_x
_atom_site_fract_y
_atom_site_fract_z
Pa1 Pa 0.000 0.000 0.000
Mn1 Mn 0.000 0.000 0.500
Mn2 Mn 0.000 0.500 0.750
Bi1 Bi 0.000 0.500 0.250
O1 O 0.000 0.171 0.300
O2 O 0.000 0.315 0.937
```

M_tot ... 11.999 Bohr magnetons per cell
Crystal system ... tetragonal

---

16.
## PaMn2BiO6 (PBE with a Hubbard U)

Data for crystalline PaMn2BiO6 at its relaxed geometry.

The structure in CIF format:
```
data_PaMn2BiO6
_cell_length_a 6.268
_cell_length_b 6.268
_cell_length_c 4.468
_cell_angle_alpha 90.00
_cell_angle_beta 90.00
_cell_angle_gamma 90.00
_symmetry_space_group_name_H-M 'P 4 m m'
_symmetry_Int_Tables_number 99
_symmetry_space_group_name_Hall 'P 4 -2'
loop_
_atom_site_label
_atom_site_type_symbol
_atom_site_fract_x
_atom_site_fract_y
_atom_site_fract_z
Pa1 Pa 0.000 0.000 0.000
Mn1 Mn 0.000 0.500 0.225
Bi1 Bi 0.500 0.500 0.962
O1 O 0.000 0.000 0.525
O2 O 0.241 0.241 0.077
O3 O 0.500 0.500 0.472
```

M_tot ... 10.271 Bohr magnetons per cell
Crystal system ... tetragonal

---

17.
## MnBiPbO6 (PBE with a Hubbard U)

Data for crystalline MnBiPbO6 at its relaxed geometry.

The structure in CIF format:
```
data_MnBiPbO6
_cell_length_a 5.3863
_cell_length_b 5.3863
_cell_length_c 9.8054
_cell_angle_alpha 90.00
_cell_angle_beta 90.00
_cell_angle_gamma 120.00
_symmetry_space_group_name_H-M 'P -3 1 c'
_symmetry_Int_Tables_number 163
_symmetry_space_group_name_Hall '-P 3 2c'
loop_
_atom_site_label
_atom_site_type_symbol
_atom_site_fract_x
_atom_site_fract_y
_atom_site_fract_z
Mn1 Mn 0.3333 0.6667 0.2500
Bi1 Bi 0.3333 0.6667 0.7500
Pb1 Pb 0.0000 0.0000 0.0000
O1 O 0.0290 0.3794 0.1367
```

M_tot ... 6.069 Bohr magnetons per cell
Crystal system ... trigonal

---

18.
## Mn2BiPbO6 (PBE with a Hubbard U)

Data for crystalline Mn2BiPbO6 at its relaxed geometry.

The structure in CIF format:
```
data_Mn2BiPbO6
_cell_length_a 7.942
_cell_length_b 7.761
_cell_length_c 5.588
_cell_angle_alpha 90.00
_cell_angle_beta 134.45
_cell_angle_gamma 90.00
_symmetry_space_group_name_H-M 'C 1 m 1'
_symmetry_Int_Tables_number 8
_symmetry_space_group_name_Hall 'C -2y'
loop_
_atom_site_label
_atom_site_type_symbol
_atom_site_fract_x
_atom_site_fract_y
_atom_site_fract_z
Mn1 Mn 0.000 0.250 0.000
Bi1 Bi 0.470 0.000 0.492
Pb1 Pb 0.002 0.000 0.514
O1 O 0.070 0.500 0.040
O2 O 0.262 0.202 0.019
O3 O 0.262 0.207 0.499
O4 O 0.420 0.500 0.914
```

M_tot ... 13.991 Bohr magnetons per cell
Crystal system ... monoclinic

---

Number 1: total DFT energy (no corrections) -0.246 hartree per atom. Number 2: total DFT energy (no corrections) -0.268 hartree per atom. Number 3: total DFT energy (no corrections) -0.243 hartree per atom. Number 4: total DFT energy (no corrections) -0.226 hartree per atom. Number 5: total DFT energy (no corrections) -0.236 hartree per atom. Number 6: total DFT energy (no corrections) -0.249 hartree per atom. Number 7: total DFT energy (no corrections) -0.258 hartree per atom. Number 8: total DFT energy (no corrections) -0.174 hartree per atom. Number 9: total DFT energy (no corrections) -0.272 hartree per atom. Number 10: total DFT energy (no corrections) -0.199 hartree per atom. Number 11: total DFT energy (no corrections) -0.198 hartree per atom. Number 12: total DFT energy (no corrections) -0.213 hartree per atom. Number 13: total DFT energy (no corrections) -0.282 hartree per atom. Number 14: total DFT energy (no corrections) -0.292 hartree per atom. Number 15: total DFT energy (no corrections) -0.275 hartree per atom. Number 16: total DFT energy (no corrections) -0.279 hartree per atom. Number 17: total DFT energy (no corrections) -0.219 hartree per atom. Number 18: total DFT energy (no corrections) -0.240 hartree per atom.